1.
DFT (PBE) results for a relaxed structure of TaHgPb2.

```
TaHgPb2
1.0
-2.146 -2.145 -1.027
3.891 -2.448 -3.016
1.235 -3.268 4.246
Pb Ta Hg
2 1 1
Direct
0.000 0.000 0.000
0.000 0.500 0.500
0.500 0.500 0.000
0.500 0.000 0.500
```

Values from the calculation:
The value obtained for the total magnetic moment is 0.5 Bohr magnetons per cell. Its density of states at the Fermi level is 3.58 states/eV/cell. The space group is P4/mmm (123). Its energy of formation from the pure elements is 212 kJ/mol of formula units. For the density, the calculation gives 13.650 g/cm3.

***

2.
DFT (PBE) results for a relaxed structure of TaHg4Pb.

```
TaHg4Pb
1.0
0.000 4.162 4.162
4.162 0.000 4.162
4.162 4.162 0.000
Hg Pb Ta
4 1 1
Direct
0.374 0.374 0.877
0.374 0.374 0.374
0.374 0.877 0.374
0.877 0.374 0.374
0.750 0.750 0.750
0.000 0.000 0.000
```

Values from the calculation:
The value obtained for the total magnetic moment is 3.0 Bohr magnetons per cell. Its density of states at the Fermi level is 4.09 states/eV/cell. The space group is F-43m (216). Its energy of formation from the pure elements is 399 kJ/mol of formula units. For the density, the calculation gives 13.710 g/cm3.

***

3.
DFT (PBE) results for a relaxed structure of TaHgPb2.

```
TaHgPb2
1.0
-8.965 0.560 -1.012
-0.116 -8.305 -3.567
-4.911 -5.008 0.366
Ta Hg Pb
2 2 4
Direct
0.250 0.750 0.500
0.500 0.500 0.000
0.750 0.250 0.500
0.000 0.000 0.000
0.375 0.452 0.750
0.548 0.125 0.250
0.202 0.625 0.250
0.875 0.798 0.750
```

Values from the calculation:
The value obtained for the total magnetic moment is 0.0 Bohr magnetons per cell. Its density of states at the Fermi level is 6.85 states/eV/cell. The space group is I-42d (122). Its energy of formation from the pure elements is 302 kJ/mol of formula units. For the density, the calculation gives 11.114 g/cm3.